Record 1
The following is a DFT calculation (PBE) of crystalline TbHo2Mg at its relaxed geometry.

Output
Density of states at the Fermi level (states/eV/cell): 4.4
Symmetry: R-3m, No. 166
Formation enthalpy at 0 K (eV per atom): 0.0149
VASP energy (eV for the cell shown): -15.321

a b c (Å): 11.304 11.304 11.304
angles (deg): 17.88 17.88 17.88
Atoms (fractional coordinates):
Tb 0.000 0.000 0.000
Ho 0.247 0.247 0.247
Ho 0.753 0.753 0.753
Mg 0.500 0.500 0.500

Record 2
The following is a DFT calculation (PBE) of crystalline TcSb2Te at its relaxed geometry.

Output
Density of states at the Fermi level (states/eV/cell): 2.7
Formation energy from raw total energies (kJ/mol of atoms): 7
Symmetry: Cm, No. 8
VASP energy (eV for the cell shown): -21.459

a b c (Å): 5.147 5.147 6.482
angles (deg): 108.75 108.75 38.08
Atoms (fractional coordinates):
Tc 0.000 0.000 0.000
Sb 0.275 0.275 0.974
Sb 0.423 0.423 0.630
Te 0.626 0.626 0.348

Record 3
The following is a DFT calculation (PBE) of crystalline KNaCaBr4 at its relaxed geometry.

Output
Density of states at the Fermi level (states/eV/cell): 0.0
Formation energy from raw total energies (kJ/mol of atoms): -174
Symmetry: Imma, No. 74
VASP energy (eV for the cell shown): -47.438

a b c (Å): 9.170 9.170 9.170
angles (deg): 122.45 121.70 86.45
Atoms (fractional coordinates):
K 0.364 0.114 0.250
K 0.636 0.886 0.750
Na 0.000 0.500 0.500
Na 0.500 0.500 0.000
Ca 0.000 0.000 0.500
Ca 0.000 0.500 0.000
Br 0.210 0.740 0.470
Br 0.217 0.242 0.526
Br 0.217 0.691 0.974
Br 0.230 0.260 0.970
Br 0.770 0.740 0.030
Br 0.783 0.309 0.026
Br 0.783 0.758 0.474
Br 0.790 0.260 0.530

Record 4
The following is a DFT calculation (PBE) of crystalline Y2BeZnSe at its relaxed geometry.

Output
Density of states at the Fermi level (states/eV/cell): 2.4
Formation energy from raw total energies (kJ/mol of atoms): -21
Symmetry: P4/mmm, No. 123
VASP energy (eV for the cell shown): -22.499

a b c (Å): 5.394 5.394 4.059
angles (deg): 90.00 90.00 90.00
Atoms (fractional coordinates):
Y 0.000 0.500 0.000
Y 0.500 0.000 0.000
Be 0.000 0.000 0.500
Zn 0.000 0.000 0.000
Se 0.500 0.500 0.500

Record 5
The following is a DFT calculation (PBE) of crystalline Na2TcAgF at its relaxed geometry.

Output
Density of states at the Fermi level (states/eV/cell): 4.4
Formation energy from raw total energies (kJ/mol of atoms): 66
Symmetry: P4/mmm, No. 123
VASP energy (eV for the cell shown): -14.307

a b c (Å): 5.948 5.948 5.228
angles (deg): 90.00 90.00 90.00
Atoms (fractional coordinates):
Na 0.000 0.500 0.000
Na 0.500 0.000 0.000
Tc 0.000 0.000 0.000
Ag 0.000 0.000 0.500
F 0.500 0.500 0.500

Record 6
The following is a DFT calculation (PBE) of crystalline Sn2Pb13 at its relaxed geometry.

Output
Density of states at the Fermi level (states/eV/cell): 5.7
Symmetry: P-1, No. 2
Formation enthalpy at 0 K (eV per atom): 0.0289
VASP energy (eV for the cell shown): -55.780

a b c (Å): 7.004 8.266 8.880
angles (deg): 70.36 80.09 75.49
Atoms (fractional coordinates):
Sn 0.136 0.298 0.463
Sn 0.864 0.702 0.537
Pb 0.000 0.500 0.000
Pb 0.069 0.903 0.723
Pb 0.193 0.692 0.212
Pb 0.261 0.097 0.943
Pb 0.320 0.498 0.661
Pb 0.412 0.899 0.396
Pb 0.469 0.301 0.134
Pb 0.531 0.699 0.866
Pb 0.588 0.101 0.604
Pb 0.680 0.502 0.339
Pb 0.739 0.903 0.057
Pb 0.807 0.308 0.788
Pb 0.931 0.097 0.277

Record 7
The following is a DFT calculation (PBE) of crystalline SrCd2AgPd at its relaxed geometry.

Output
Density of states at the Fermi level (states/eV/cell): 2.0
Symmetry: P4/mmm, No. 123
Formation enthalpy at 0 K (eV per atom): -0.1667
VASP energy (eV for the cell shown): -12.390

a b c (Å): 5.165 5.165 5.286
angles (deg): 90.00 90.00 90.00
Atoms (fractional coordinates):
Sr 0.000 0.000 0.000
Cd 0.000 0.500 0.500
Cd 0.500 0.000 0.500
Ag 0.500 0.500 0.000
Pd 0.500 0.500 0.500

Record 8
The following is a DFT calculation (PBE) of crystalline CoRe2Ni at its relaxed geometry.

Output
Density of states at the Fermi level (states/eV/cell): 3.9
Symmetry: I-4m2, No. 119
Formation enthalpy at 0 K (eV per atom): 0.0332
VASP energy (eV for the cell shown): -37.651

a b c (Å): 4.543 4.543 4.543
angles (deg): 131.28 131.28 71.37
Atoms (fractional coordinates):
Co 0.000 0.000 0.000
Re 0.250 0.750 0.500
Re 0.500 0.500 0.000
Ni 0.750 0.250 0.500

Record 9
The following is a DFT calculation (PBE) of crystalline NaHfIn2 at its relaxed geometry.

Output
Density of states at the Fermi level (states/eV/cell): 2.4
Symmetry: P4/mmm, No. 123
Formation enthalpy at 0 K (eV per atom): -0.0876
VASP energy (eV for the cell shown): -17.100

a b c (Å): 3.178 3.178 9.401
angles (deg): 90.00 90.00 90.00
Atoms (fractional coordinates):
Na 0.000 0.000 0.000
Hf 0.000 0.000 0.500
In 0.500 0.500 0.266
In 0.500 0.500 0.734

Record 10
The following is a DFT calculation (PBE) of crystalline SmPaNi2 at its relaxed geometry.

Output
Density of states at the Fermi level (states/eV/cell): 5.9
Symmetry: P4/mmm, No. 123
Formation enthalpy at 0 K (eV per atom): -0.1797
VASP energy (eV for the cell shown): -26.496

a b c (Å): 4.836 4.836 3.344
angles (deg): 90.00 90.00 90.00
Atoms (fractional coordinates):
Sm 0.000 0.000 0.000
Pa 0.500 0.500 0.000
Ni 0.000 0.500 0.500
Ni 0.500 0.000 0.500

Record 11
The following is a DFT calculation (PBE) of crystalline LaMg2AlZn4 at its relaxed geometry.

Output
Density of states at the Fermi level (states/eV/cell): 3.1
Symmetry: R-3m, No. 166
Formation enthalpy at 0 K (eV per atom): -0.1639
VASP energy (eV for the cell shown): -18.266

a b c (Å): 9.372 9.372 9.372
angles (deg): 28.10 28.10 28.10
Atoms (fractional coordinates):
La 0.000 0.000 0.000
Mg 0.239 0.239 0.239
Mg 0.761 0.761 0.761
Al 0.500 0.500 0.500
Zn 0.129 0.129 0.129
Zn 0.400 0.400 0.400
Zn 0.600 0.600 0.600
Zn 0.871 0.871 0.871

Record 12
The following is a DFT calculation (PBE) of crystalline As2OsSeF at its relaxed geometry.

Output
Density of states at the Fermi level (states/eV/cell): 6.6
Formation energy from raw total energies (kJ/mol of atoms): 37
Symmetry: P4/mmm, No. 123
VASP energy (eV for the cell shown): -23.941

a b c (Å): 4.763 4.763 4.966
angles (deg): 90.00 90.00 90.00
Atoms (fractional coordinates):
As 0.000 0.500 0.000
As 0.500 0.000 0.000
Os 0.000 0.000 0.000
Se 0.000 0.000 0.500
F 0.500 0.500 0.500